Run w
LiSbTeHBr, optimized geometry, DFT PBE-GGA; magnetization = 0.00 μB/f.u.
1.0
-1.273 -3.743 -3.094
3.017 1.117 -2.592
8.671 -7.544 6.838
Li Sb Te H Br
2 2 2 2 2
Direct
0.492 0.000 0.465
0.492 0.500 0.965
0.956 0.000 0.354
0.956 0.500 0.854
0.753 0.000 0.718
0.753 0.500 0.218
0.437 0.000 0.758
0.437 0.500 0.258
0.264 0.000 0.024
0.264 0.500 0.524

---

Run x
LiSbTeHBr, optimized geometry, DFT PBE-GGA; magnetization = 0.00 μB/f.u.
1.0
4.962 0.000 0.006
0.000 4.140 0.000
-1.141 0.000 13.597
Li Sb Te H Br
2 2 2 2 2
Direct
0.794 0.000 0.046
0.794 0.500 0.546
0.469 0.000 0.790
0.469 0.500 0.290
0.327 0.000 0.148
0.327 0.500 0.648
0.795 0.000 0.752
0.795 0.500 0.252
0.833 0.000 0.444
0.833 0.500 0.944

---

So which one is most stable? That would be run x, about 159 meV per atom below the next structure.

---

Run w
LiHSeBr2, optimized geometry, DFT PBE-GGA; magnetization = 4.01 μB/f.u.
1.0
5.152 0.000 0.000
0.000 5.152 0.000
0.000 0.000 5.186
H Se Br Li
1 1 2 1
Direct
0.500 0.500 0.500
0.000 0.000 0.500
0.000 0.500 0.000
0.500 0.000 0.000
0.000 0.000 0.000

---

Run x
LiHSeBr2, optimized geometry, DFT PBE-GGA; magnetization = 0.41 μB/f.u.
1.0
-4.471 2.009 -2.208
-1.033 -4.772 -2.250
-1.857 -0.960 2.888
H Se Br Li
1 1 2 1
Direct
0.000 0.000 0.000
0.000 0.000 0.500
0.000 0.500 0.000
0.500 0.000 0.000
0.500 0.500 0.500

---

So which one is most stable? That would be run x, about 498 meV per atom below the next structure.